No. 1
Here is a crystal of LaSnP2Cl relaxed with PBEsol from Alexandria via LeMat-Bulk. Energies are from SCAN. Values from VASP.

Properties
The space group is P4/mmm. The density of states at the Fermi level comes out at 0.551 states/eV per atom. The formation energy (no corrections) is -0.04 eV/atom.

Quantum ESPRESSO input file:
```
&SYSTEM
  ibrav = 0, nat = 5, ntyp = 4
/
ATOMIC_SPECIES
La 138.91 La.upf
Sn 118.71 Sn.upf
P 30.97 P.upf
Cl 35.45 Cl.upf
ATOMIC_POSITIONS crystal
La 0.0000 0.0000 0.0000
Sn 0.5000 0.5000 0.5000
P 0.0000 0.5000 0.0000
P 0.5000 0.0000 0.0000
Cl 0.0000 0.0000 0.5000
CELL_PARAMETERS angstrom
5.3857 0.0000 0.0000
0.0000 5.3857 0.0000
0.0000 0.0000 5.2788
```


No. 2
Here is a crystal of LaTaPCl2 relaxed with PBEsol from Alexandria via LeMat-Bulk. Energies are from SCAN. Values from VASP.

Properties
The space group is P4/mmm. The density of states at the Fermi level comes out at 0.751 states/eV per atom. The value obtained for the energy above the most stable polymorph in this dataset is 0 meV per atom. The formation energy (no corrections) is -0.82 eV/atom.

Quantum ESPRESSO input file:
```
&SYSTEM
  ibrav = 0, nat = 5, ntyp = 4
/
ATOMIC_SPECIES
La 138.91 La.upf
Ta 180.95 Ta.upf
P 30.97 P.upf
Cl 35.45 Cl.upf
ATOMIC_POSITIONS crystal
La 0.0000 0.0000 0.0000
Ta 0.5000 0.5000 0.5000
P 0.5000 0.5000 0.0000
Cl 0.0000 0.5000 0.5000
Cl 0.5000 0.0000 0.5000
CELL_PARAMETERS angstrom
4.7085 0.0000 0.0000
0.0000 4.7085 0.0000
0.0000 0.0000 4.9049
```


No. 3
Here is a crystal of LaTaPCl2 relaxed with PBEsol from Alexandria via LeMat-Bulk. Energies are from SCAN. Values from VASP.

Properties
The space group is P4/mmm. The density of states at the Fermi level comes out at 1.610 states/eV per atom. The value obtained for the energy above the most stable polymorph in this dataset is 951 meV per atom. The formation energy (no corrections) is 0.13 eV/atom.

Quantum ESPRESSO input file:
```
&SYSTEM
  ibrav = 0, nat = 5, ntyp = 4
/
ATOMIC_SPECIES
La 138.91 La.upf
Ta 180.95 Ta.upf
P 30.97 P.upf
Cl 35.45 Cl.upf
ATOMIC_POSITIONS crystal
La 0.0000 0.0000 0.0000
Ta 0.5000 0.5000 0.5000
P 0.0000 0.0000 0.5000
Cl 0.0000 0.5000 0.0000
Cl 0.5000 0.0000 0.0000
CELL_PARAMETERS angstrom
5.1996 0.0000 0.0000
0.0000 5.1996 0.0000
0.0000 0.0000 5.8740
```


No. 4
Here is a crystal of LaTiP2Cl relaxed with PBEsol from Alexandria via LeMat-Bulk. Energies are from SCAN. Values from VASP.

Properties
The space group is P4/mmm. The density of states at the Fermi level comes out at 0.245 states/eV per atom. The formation energy (no corrections) is -1.22 eV/atom.

Quantum ESPRESSO input file:
```
&SYSTEM
  ibrav = 0, nat = 5, ntyp = 4
/
ATOMIC_SPECIES
La 138.91 La.upf
Ti 47.87 Ti.upf
P 30.97 P.upf
Cl 35.45 Cl.upf
ATOMIC_POSITIONS crystal
La 0.0000 0.0000 0.0000
Ti 0.5000 0.5000 0.5000
P 0.0000 0.5000 0.5000
P 0.5000 0.0000 0.5000
Cl 0.5000 0.5000 0.0000
CELL_PARAMETERS angstrom
4.7311 0.0000 0.0000
0.0000 4.7311 0.0000
0.0000 0.0000 4.6237
```


Number 1: total DFT energy (no corrections) -21.604 eV per atom. Number 2: total DFT energy (no corrections) -28.029 eV per atom. Number 3: total DFT energy (no corrections) -27.077 eV per atom. Number 4: total DFT energy (no corrections) -18.798 eV per atom.